1.
Computed, not measured: crystalline TbInFe at its relaxed geometry at the PBE level of DFT.

Values from the calculation:
E (Ry per atom): -0.373
Space-group type: F-43m

Unit cell a=6.4485 b=6.4485 c=6.4485 alpha=90.00 beta=90.00 gamma=90.00
Closest atoms and distances in Å follow each position.
Atoms (fractional coordinates):
Tb: 0.0000 0.0000 0.0000  4 Fe 2.79
Tb: 0.0000 0.5000 0.5000  4 Fe 2.79
Tb: 0.5000 0.0000 0.5000  4 Fe 2.79
Tb: 0.5000 0.5000 0.0000  4 Fe 2.79
In: 0.0000 0.0000 0.5000  4 Fe 2.79
In: 0.0000 0.5000 0.0000  4 Fe 2.79
In: 0.5000 0.0000 0.0000  4 Fe 2.79
In: 0.5000 0.5000 0.5000  4 Fe 2.79
Fe: 0.2500 0.2500 0.7500  4 Tb 2.79, 4 In 2.79
Fe: 0.2500 0.7500 0.2500  4 Tb 2.79, 4 In 2.79
Fe: 0.7500 0.2500 0.2500  4 Tb 2.79, 4 In 2.79
Fe: 0.7500 0.7500 0.7500  4 Tb 2.79, 4 In 2.79

=====

2.
Computed, not measured: crystalline TbY2In3Fe3 at its relaxed geometry at the PBE level of DFT.

Values from the calculation:
E (Ry per atom): -0.420
Space-group type: Amm2

Unit cell a=3.8780 b=7.4759 c=7.4759 alpha=119.54 beta=90.00 gamma=90.00
Closest atoms and distances in Å follow each position.
Atoms (fractional coordinates):
Tb: 0.0000 0.0000 0.0000  5 Fe 2.97-3.10, 2 In 3.16
Y: 0.0000 0.4129 0.8205  5 Fe 2.99-3.05, 6 In 3.16-3.32
Y: 0.0000 0.8205 0.4129  5 Fe 2.99-3.05, 6 In 3.16-3.32
In: 0.5000 0.1538 0.4115  4 Fe 2.73-2.83
In: 0.5000 0.4115 0.1538  4 Fe 2.73-2.83
In: 0.5000 0.6678 0.6678  4 Fe 2.74-2.83
Fe: 0.0000 0.4112 0.4112  6 In 2.73-2.74, 2 Y 3.05
Fe: 0.5000 0.0789 0.7465  3 In 2.82-2.83, 2 Tb 2.97, 4 Y 2.99
Fe: 0.5000 0.7465 0.0789  3 In 2.82-2.83, 2 Tb 2.97, 4 Y 2.99

=====

3.
Computed, not measured: crystalline InFeTcW at its relaxed geometry at the PBE level of DFT.

Values from the calculation:
E (Ry per atom): -0.615
Space-group type: F-43m

Unit cell a=6.2356 b=6.2356 c=6.2356 alpha=90.00 beta=90.00 gamma=90.00
Closest atoms and distances in Å follow each position.
Atoms (fractional coordinates):
In: 0.0000 0.0000 0.0000  4 Fe 2.70, 4 Tc 2.70
In: 0.0000 0.5000 0.5000  4 Fe 2.70, 4 Tc 2.70
In: 0.5000 0.0000 0.5000  4 Fe 2.70, 4 Tc 2.70
In: 0.5000 0.5000 0.0000  4 Fe 2.70, 4 Tc 2.70
Fe: 0.2500 0.2500 0.2500  4 In 2.70, 4 W 2.70
Fe: 0.2500 0.7500 0.7500  4 In 2.70, 4 W 2.70
Fe: 0.7500 0.2500 0.7500  4 In 2.70, 4 W 2.70
Fe: 0.7500 0.7500 0.2500  4 In 2.70, 4 W 2.70
Tc: 0.2500 0.2500 0.7500  4 In 2.70, 4 W 2.70
Tc: 0.2500 0.7500 0.2500  4 In 2.70, 4 W 2.70
Tc: 0.7500 0.2500 0.2500  4 In 2.70, 4 W 2.70
Tc: 0.7500 0.7500 0.7500  4 In 2.70, 4 W 2.70
W: 0.0000 0.0000 0.5000  4 Tc 2.70, 4 Fe 2.70
W: 0.0000 0.5000 0.0000  4 Tc 2.70, 4 Fe 2.70
W: 0.5000 0.0000 0.0000  4 Tc 2.70, 4 Fe 2.70
W: 0.5000 0.5000 0.5000  4 Fe 2.70, 4 Tc 2.70

=====

4.
Computed, not measured: crystalline ZnInFeTc at its relaxed geometry at the PBE level of DFT.

Values from the calculation:
E (Ry per atom): -0.396
Space-group type: F-43m

Unit cell a=6.2348 b=6.2348 c=6.2348 alpha=90.00 beta=90.00 gamma=90.00
Closest atoms and distances in Å follow each position.
Atoms (fractional coordinates):
Zn: 0.0000 0.0000 0.0000  4 Tc 2.70, 4 In 2.70
Zn: 0.0000 0.5000 0.5000  4 Tc 2.70, 4 In 2.70
Zn: 0.5000 0.0000 0.5000  4 Tc 2.70, 4 In 2.70
Zn: 0.5000 0.5000 0.0000  4 Tc 2.70, 4 In 2.70
In: 0.2500 0.2500 0.2500  4 Zn 2.70, 4 Fe 2.70
In: 0.2500 0.7500 0.7500  4 Zn 2.70, 4 Fe 2.70
In: 0.7500 0.2500 0.7500  4 Zn 2.70, 4 Fe 2.70
In: 0.7500 0.7500 0.2500  4 Zn 2.70, 4 Fe 2.70
Fe: 0.0000 0.0000 0.5000  4 In 2.70, 4 Tc 2.70
Fe: 0.0000 0.5000 0.0000  4 In 2.70, 4 Tc 2.70
Fe: 0.5000 0.0000 0.0000  4 In 2.70, 4 Tc 2.70
Fe: 0.5000 0.5000 0.5000  4 In 2.70, 4 Tc 2.70
Tc: 0.2500 0.2500 0.7500  4 Fe 2.70, 4 Zn 2.70
Tc: 0.2500 0.7500 0.2500  4 Fe 2.70, 4 Zn 2.70
Tc: 0.7500 0.2500 0.2500  4 Fe 2.70, 4 Zn 2.70
Tc: 0.7500 0.7500 0.7500  4 Fe 2.70, 4 Zn 2.70

=====

5.
Computed, not measured: crystalline ZrInFeTe3 at its relaxed geometry at the PBE level of DFT.

Values from the calculation:
E (Ry per atom): -0.388
Space-group type: Cmcm

Unit cell a=8.1009 b=8.1009 c=10.5385 alpha=90.00 beta=90.00 gamma=151.81
Closest atoms and distances in Å follow each position.
Atoms (fractional coordinates):
Zr: 0.0000 0.0000 0.0000  6 Te 2.92-2.94
Zr: 0.0000 0.0000 0.5000  6 Te 2.92-2.94
In: 0.2432 0.7568 0.7500  6 Te 3.31-3.40
In: 0.7568 0.2432 0.2500  6 Te 3.31-3.40
Fe: 0.4701 0.5299 0.2500  4 Te 2.59-2.63
Fe: 0.5299 0.4701 0.7500  4 Te 2.59-2.63
Te: 0.0808 0.9192 0.2500  2 Fe 2.63, 2 Zr 2.92
Te: 0.3665 0.6335 0.0582  1 Fe 2.59
Te: 0.3665 0.6335 0.4418  1 Fe 2.59
Te: 0.6335 0.3665 0.5582  1 Fe 2.59
Te: 0.6335 0.3665 0.9418  1 Fe 2.59
Te: 0.9192 0.0808 0.7500  2 Fe 2.63, 2 Zr 2.92

=====

6.
Computed, not measured: crystalline TmInFe at its relaxed geometry at the PBE level of DFT.

Values from the calculation:
E (Ry per atom): -0.370
Space-group type: F-43m

Unit cell a=6.4188 b=6.4188 c=6.4188 alpha=90.00 beta=90.00 gamma=90.00
Closest atoms and distances in Å follow each position.
Atoms (fractional coordinates):
Tm: 0.0000 0.0000 0.0000  4 Fe 2.78
Tm: 0.0000 0.5000 0.5000  4 Fe 2.78
Tm: 0.5000 0.0000 0.5000  4 Fe 2.78
Tm: 0.5000 0.5000 0.0000  4 Fe 2.78
In: 0.0000 0.0000 0.5000  4 Fe 2.78
In: 0.0000 0.5000 0.0000  4 Fe 2.78
In: 0.5000 0.0000 0.0000  4 Fe 2.78
In: 0.5000 0.5000 0.5000  4 Fe 2.78
Fe: 0.2500 0.2500 0.7500  4 Tm 2.78, 4 In 2.78
Fe: 0.2500 0.7500 0.2500  4 Tm 2.78, 4 In 2.78
Fe: 0.7500 0.2500 0.2500  4 Tm 2.78, 4 In 2.78
Fe: 0.7500 0.7500 0.7500  4 Tm 2.78, 4 In 2.78

=====

7.
Computed, not measured: crystalline TmInFe at its relaxed geometry at the PBE level of DFT.

Values from the calculation:
E (Ry per atom): -0.325
Space-group type: F-43m

Unit cell a=6.7470 b=6.7470 c=6.7470 alpha=90.00 beta=90.00 gamma=90.00
Closest atoms and distances in Å follow each position.
Atoms (fractional coordinates):
Tm: 0.0000 0.0000 0.0000  4 In 2.92, 4 Fe 2.92
Tm: 0.0000 0.5000 0.5000  4 In 2.92, 4 Fe 2.92
Tm: 0.5000 0.0000 0.5000  4 In 2.92, 4 Fe 2.92
Tm: 0.5000 0.5000 0.0000  4 In 2.92, 4 Fe 2.92
In: 0.2500 0.2500 0.2500  4 Tm 2.92
In: 0.2500 0.7500 0.7500  4 Tm 2.92
In: 0.7500 0.2500 0.7500  4 Tm 2.92
In: 0.7500 0.7500 0.2500  4 Tm 2.92
Fe: 0.2500 0.2500 0.7500  4 Tm 2.92
Fe: 0.2500 0.7500 0.2500  4 Tm 2.92
Fe: 0.7500 0.2500 0.2500  4 Tm 2.92
Fe: 0.7500 0.7500 0.7500  4 Tm 2.92

=====

8.
Computed, not measured: crystalline YTmIn4Fe2 at its relaxed geometry at the PBE level of DFT.

Values from the calculation:
E (Ry per atom): -0.365
Space-group type: Amm2

Unit cell a=7.5624 b=4.2705 c=10.5868 alpha=90.00 beta=90.00 gamma=90.00
Closest atoms and distances in Å follow each position.
Atoms (fractional coordinates):
Y: 0.0000 0.0000 0.0000  3 Fe 2.96-3.16, 4 In 3.21
Y: 0.0000 0.5000 0.5000  3 Fe 2.96-3.16, 4 In 3.21
Tm: 0.5000 0.0000 0.1358  3 Fe 2.96-3.16, 4 In 3.20
Tm: 0.5000 0.5000 0.6358  3 Fe 2.96-3.16, 4 In 3.20
In: 0.2011 0.0000 0.7085  3 Fe 2.73-2.75, 1 In 3.04
In: 0.2011 0.5000 0.2085  3 Fe 2.73-2.75, 1 In 3.04
In: 0.3009 0.0000 0.4272  3 Fe 2.72-2.76, 1 In 3.01
In: 0.3009 0.5000 0.9272  3 Fe 2.72-2.76, 1 In 3.01
In: 0.6991 0.0000 0.4272  3 Fe 2.72-2.76, 1 In 3.01
In: 0.6991 0.5000 0.9272  3 Fe 2.72-2.76, 1 In 3.01
In: 0.7989 0.0000 0.7085  3 Fe 2.73-2.75, 1 In 3.04
In: 0.7989 0.5000 0.2085  3 Fe 2.73-2.75, 1 In 3.04
Fe: 0.0000 0.0000 0.2800  6 In 2.73-2.76, 1 Y 2.96
Fe: 0.0000 0.5000 0.7800  6 In 2.73-2.76, 1 Y 2.96
Fe: 0.5000 0.0000 0.8564  6 In 2.72-2.75, 1 Tm 2.96
Fe: 0.5000 0.5000 0.3564  6 In 2.72-2.75, 1 Tm 2.96

=====

9.
Computed, not measured: crystalline YTmInFe2 at its relaxed geometry at the PBE level of DFT.

Values from the calculation:
E (Ry per atom): -0.461
Space-group type: Amm2

Unit cell a=3.9680 b=3.7546 c=13.6194 alpha=90.00 beta=90.00 gamma=90.00
Closest atoms and distances in Å follow each position.
Atoms (fractional coordinates):
Y: 0.0000 0.0000 0.0000  6 Fe 2.90-2.91
Y: 0.0000 0.5000 0.5000  6 Fe 2.90-2.91
Tm: 0.0000 0.0000 0.7234  6 Fe 2.85-2.88
Tm: 0.0000 0.5000 0.2234  6 Fe 2.85-2.88
In: 0.5000 0.0000 0.3613  2 Fe 2.80-2.89
In: 0.5000 0.5000 0.8613  2 Fe 2.80-2.89
Fe: 0.5000 0.0000 0.1556  2 Fe 2.18
Fe: 0.5000 0.0000 0.5736  2 Fe 2.18
Fe: 0.5000 0.5000 0.0736  2 Fe 2.18
Fe: 0.5000 0.5000 0.6556  2 Fe 2.18

=====

10.
Computed, not measured: crystalline In2Fe3W2 at its relaxed geometry at the PBE level of DFT.

Values from the calculation:
E (Ry per atom): -0.567
Space-group type: R3m

Unit cell a=7.2536 b=7.2536 c=7.2536 alpha=34.05 beta=34.05 gamma=34.05
Closest atoms and distances in Å follow each position.
Atoms (fractional coordinates):
In: 0.0000 0.0000 0.0000  7 Fe 2.53-2.68
In: 0.4878 0.4878 0.4878  5 Fe 2.54-2.65
Fe: 0.3639 0.3639 0.3639  4 In 2.53-2.54, 4 W 2.53-2.64
Fe: 0.6170 0.6170 0.6170  4 W 2.61, 4 In 2.65-2.66
Fe: 0.8692 0.8692 0.8692  4 W 2.55-2.57, 4 In 2.64-2.68
W: 0.2402 0.2402 0.2402  7 Fe 2.53-2.61
W: 0.7445 0.7445 0.7445  5 Fe 2.55-2.64

=====

11.
Computed, not measured: crystalline InFeW2 at its relaxed geometry at the PBE level of DFT.

Values from the calculation:
E (Ry per atom): -0.641
Space-group type: F-43m

Unit cell a=6.3196 b=6.3196 c=6.3196 alpha=90.00 beta=90.00 gamma=90.00
Closest atoms and distances in Å follow each position.
Atoms (fractional coordinates):
In: 0.0000 0.0000 0.0000  4 Fe 2.74, 4 W 2.74
In: 0.0000 0.5000 0.5000  4 Fe 2.74, 4 W 2.74
In: 0.5000 0.0000 0.5000  4 Fe 2.74, 4 W 2.74
In: 0.5000 0.5000 0.0000  4 Fe 2.74, 4 W 2.74
Fe: 0.2500 0.2500 0.2500  4 In 2.74, 4 W 2.74
Fe: 0.2500 0.7500 0.7500  4 W 2.74, 4 In 2.74
Fe: 0.7500 0.2500 0.7500  4 W 2.74, 4 In 2.74
Fe: 0.7500 0.7500 0.2500  4 In 2.74, 4 W 2.74
W: 0.0000 0.0000 0.5000  4 W 2.74, 4 Fe 2.74
W: 0.0000 0.5000 0.0000  4 W 2.74, 4 Fe 2.74
W: 0.2500 0.2500 0.7500  4 In 2.74, 4 W 2.74
W: 0.2500 0.7500 0.2500  4 In 2.74, 4 W 2.74
W: 0.5000 0.0000 0.0000  4 W 2.74, 4 Fe 2.74
W: 0.5000 0.5000 0.5000  4 W 2.74, 4 Fe 2.74
W: 0.7500 0.2500 0.2500  4 In 2.74, 4 W 2.74
W: 0.7500 0.7500 0.7500  4 In 2.74, 4 W 2.74

=====

12.
Computed, not measured: crystalline YInFeW at its relaxed geometry at the PBE level of DFT.

Values from the calculation:
E (Ry per atom): -0.513
Space-group type: F-43m

Unit cell a=6.7480 b=6.7480 c=6.7480 alpha=90.00 beta=90.00 gamma=90.00
Closest atoms and distances in Å follow each position.
Atoms (fractional coordinates):
Y: 0.0000 0.0000 0.0000  4 Fe 2.92, 4 W 2.92
Y: 0.0000 0.5000 0.5000  4 W 2.92, 4 Fe 2.92
Y: 0.5000 0.0000 0.5000  4 W 2.92, 4 Fe 2.92
Y: 0.5000 0.5000 0.0000  4 W 2.92, 4 Fe 2.92
In: 0.0000 0.0000 0.5000  4 W 2.92, 4 Fe 2.92
In: 0.0000 0.5000 0.0000  4 W 2.92, 4 Fe 2.92
In: 0.5000 0.0000 0.0000  4 W 2.92, 4 Fe 2.92
In: 0.5000 0.5000 0.5000  4 Fe 2.92, 4 W 2.92
Fe: 0.2500 0.2500 0.7500  4 In 2.92, 4 Y 2.92
Fe: 0.2500 0.7500 0.2500  4 In 2.92, 4 Y 2.92
Fe: 0.7500 0.2500 0.2500  4 In 2.92, 4 Y 2.92
Fe: 0.7500 0.7500 0.7500  4 In 2.92, 4 Y 2.92
W: 0.2500 0.2500 0.2500  4 In 2.92, 4 Y 2.92
W: 0.2500 0.7500 0.7500  4 In 2.92, 4 Y 2.92
W: 0.7500 0.2500 0.7500  4 In 2.92, 4 Y 2.92
W: 0.7500 0.7500 0.2500  4 In 2.92, 4 Y 2.92